Model P:
Computed, not measured: a relaxed structure of CuP2Au at the PBE level of DFT.

CIF file:
```
data_CuP2Au
_chemical_formula_sum 'Cu2 P4 Au2'
_symmetry_space_group_name_H-M 'I m m 2'
_symmetry_Int_Tables_number 44
_symmetry_space_group_name_Hall 'I 2 -2'
_cell_length_a 3.231
_cell_length_b 3.624
_cell_length_c 10.929
_cell_angle_alpha 90.00
_cell_angle_beta 90.00
_cell_angle_gamma 90.00
loop_
_atom_site_label
_atom_site_type_symbol
_atom_site_fract_x
_atom_site_fract_y
_atom_site_fract_z
Cu1 Cu 0.000 0.000 0.000
P1 P 0.000 0.000 0.475
P2 P 0.000 0.500 0.821
Au1 Au 0.000 0.500 0.187
```

Output
Its crystal system is orthorhombic.

---

Model Q:
Computed, not measured: a relaxed structure of CuP2Au at the PBE level of DFT.

CIF file:
```
data_CuP2Au
_chemical_formula_sum 'Cu4 P8 Au4'
_symmetry_space_group_name_H-M 'I -4 2 d'
_symmetry_Int_Tables_number 122
_symmetry_space_group_name_Hall 'I -4 2bw'
_cell_length_a 5.369
_cell_length_b 5.369
_cell_length_c 10.619
_cell_angle_alpha 90.00
_cell_angle_beta 90.00
_cell_angle_gamma 90.00
loop_
_atom_site_label
_atom_site_type_symbol
_atom_site_fract_x
_atom_site_fract_y
_atom_site_fract_z
Cu1 Cu 0.000 0.000 0.000
P1 P 0.222 0.250 0.125
Au1 Au 0.000 0.000 0.500
```

Output
Its crystal system is tetragonal.

---

Model R:
Computed, not measured: a relaxed structure of CuP2Au at the PBE level of DFT.

CIF file:
```
data_CuP2Au
_chemical_formula_sum 'Cu1 P2 Au1'
_symmetry_space_group_name_H-M 'P m m 2'
_symmetry_Int_Tables_number 25
_symmetry_space_group_name_Hall 'P 2 -2'
_cell_length_a 2.699
_cell_length_b 3.740
_cell_length_c 6.911
_cell_angle_alpha 90.00
_cell_angle_beta 90.00
_cell_angle_gamma 90.00
loop_
_atom_site_label
_atom_site_type_symbol
_atom_site_fract_x
_atom_site_fract_y
_atom_site_fract_z
Cu1 Cu 0.000 0.000 0.000
P1 P 0.000 0.000 0.340
P2 P 0.500 0.500 0.880
Au1 Au 0.500 0.500 0.514
```

Output
Its crystal system is orthorhombic.

---

Model S:
Computed, not measured: a relaxed structure of CuP2Au at the PBE level of DFT.

CIF file:
```
data_CuP2Au
_chemical_formula_sum 'Cu2 P4 Au2'
_symmetry_space_group_name_H-M 'I m m m'
_symmetry_Int_Tables_number 71
_symmetry_space_group_name_Hall '-I 2 2'
_cell_length_a 3.906
_cell_length_b 4.281
_cell_length_c 10.310
_cell_angle_alpha 90.00
_cell_angle_beta 90.00
_cell_angle_gamma 90.00
loop_
_atom_site_label
_atom_site_type_symbol
_atom_site_fract_x
_atom_site_fract_y
_atom_site_fract_z
Cu1 Cu 0.000 0.000 0.000
P1 P 0.000 0.500 0.377
Au1 Au 0.000 0.000 0.500
```

Output
Its crystal system is orthorhombic.

---

The data favor model S; the next most stable structure lies 0.010 eV/atom above it.

---

Model P:
Computed, not measured: a relaxed structure of CuPAuS2 at the PBE level of DFT.

CIF file:
```
data_CuPAuS2
_chemical_formula_sum 'Cu1 P1 Au1 S2'
_symmetry_space_group_name_H-M 'P 4/m m m'
_symmetry_Int_Tables_number 123
_symmetry_space_group_name_Hall '-P 4 2'
_cell_length_a 4.992
_cell_length_b 4.992
_cell_length_c 4.600
_cell_angle_alpha 90.00
_cell_angle_beta 90.00
_cell_angle_gamma 90.00
loop_
_atom_site_label
_atom_site_type_symbol
_atom_site_fract_x
_atom_site_fract_y
_atom_site_fract_z
Cu1 Cu 0.000 0.000 0.000
P1 P 0.500 0.500 0.000
Au1 Au 0.500 0.500 0.500
S1 S 0.000 0.500 0.500
```

Output
Its crystal system is tetragonal.

---

Model Q:
Computed, not measured: a relaxed structure of CuPAuS2 at the PBE level of DFT.

CIF file:
```
data_CuPAuS2
_chemical_formula_sum 'Cu1 P1 Au1 S2'
_symmetry_space_group_name_H-M 'P 4/m m m'
_symmetry_Int_Tables_number 123
_symmetry_space_group_name_Hall '-P 4 2'
_cell_length_a 4.589
_cell_length_b 4.589
_cell_length_c 4.446
_cell_angle_alpha 90.00
_cell_angle_beta 90.00
_cell_angle_gamma 90.00
loop_
_atom_site_label
_atom_site_type_symbol
_atom_site_fract_x
_atom_site_fract_y
_atom_site_fract_z
Cu1 Cu 0.000 0.000 0.000
P1 P 0.000 0.000 0.500
Au1 Au 0.500 0.500 0.500
S1 S 0.000 0.500 0.000
```

Output
Its crystal system is tetragonal.

---

The data favor model Q; the next most stable structure lies 0.279 eV/atom above it.

---

Model P:
Computed, not measured: a relaxed structure of PaCu2Au2 at the PBE level of DFT.

CIF file:
```
data_PaCu2Au2
_chemical_formula_sum 'Pa2 Cu4 Au4'
_symmetry_space_group_name_H-M 'C 1 2/m 1'
_symmetry_Int_Tables_number 12
_symmetry_space_group_name_Hall '-C 2y'
_cell_length_a 9.005
_cell_length_b 4.553
_cell_length_c 5.011
_cell_angle_alpha 90.00
_cell_angle_beta 115.33
_cell_angle_gamma 90.00
loop_
_atom_site_label
_atom_site_type_symbol
_atom_site_fract_x
_atom_site_fract_y
_atom_site_fract_z
Pa1 Pa 0.000 0.000 0.000
Cu1 Cu 0.236 0.500 0.359
Au1 Au 0.130 0.500 0.777
```

Output
Its crystal system is monoclinic.

---

Model Q:
Computed, not measured: a relaxed structure of PaCu2Au2 at the PBE level of DFT.

CIF file:
```
data_PaCu2Au2
_chemical_formula_sum 'Pa2 Cu4 Au4'
_symmetry_space_group_name_H-M 'P 1 21/m 1'
_symmetry_Int_Tables_number 11
_symmetry_space_group_name_Hall '-P 2yb'
_cell_length_a 4.552
_cell_length_b 3.206
_cell_length_c 12.428
_cell_angle_alpha 90.00
_cell_angle_beta 90.03
_cell_angle_gamma 90.00
loop_
_atom_site_label
_atom_site_type_symbol
_atom_site_fract_x
_atom_site_fract_y
_atom_site_fract_z
Pa1 Pa 0.249 0.250 0.247
Cu1 Cu 0.249 0.750 0.028
Cu2 Cu 0.250 0.250 0.645
Au1 Au 0.250 0.750 0.463
Au2 Au 0.251 0.250 0.857
```

Output
Its crystal system is monoclinic.

---

The data favor model P; the next most stable structure lies 0.016 eV/atom above it.

---

Model P:
Computed, not measured: a relaxed structure of PuPaCuAu at the PBE level of DFT.

CIF file:
```
data_PuPaCuAu
_chemical_formula_sum 'Pu4 Pa4 Cu4 Au4'
_symmetry_space_group_name_H-M 'F -4 3 m'
_symmetry_Int_Tables_number 216
_symmetry_space_group_name_Hall 'F -4 2 3'
_cell_length_a 6.859
_cell_length_b 6.859
_cell_length_c 6.859
_cell_angle_alpha 90.00
_cell_angle_beta 90.00
_cell_angle_gamma 90.00
loop_
_atom_site_label
_atom_site_type_symbol
_atom_site_fract_x
_atom_site_fract_y
_atom_site_fract_z
Pu1 Pu 0.000 0.000 0.000
Pa1 Pa 0.250 0.250 0.750
Cu1 Cu 0.250 0.250 0.250
Au1 Au 0.000 0.000 0.500
```

Output
Its crystal system is cubic.

---

Model Q:
Computed, not measured: a relaxed structure of PuPaCuAu at the PBE level of DFT.

CIF file:
```
data_PuPaCuAu
_chemical_formula_sum 'Pu4 Pa4 Cu4 Au4'
_symmetry_space_group_name_H-M 'F -4 3 m'
_symmetry_Int_Tables_number 216
_symmetry_space_group_name_Hall 'F -4 2 3'
_cell_length_a 7.094
_cell_length_b 7.094
_cell_length_c 7.094
_cell_angle_alpha 90.00
_cell_angle_beta 90.00
_cell_angle_gamma 90.00
loop_
_atom_site_label
_atom_site_type_symbol
_atom_site_fract_x
_atom_site_fract_y
_atom_site_fract_z
Pu1 Pu 0.000 0.000 0.000
Pa1 Pa 0.000 0.000 0.500
Cu1 Cu 0.250 0.250 0.750
Au1 Au 0.250 0.250 0.250
```

Output
Its crystal system is cubic.

---

The data favor model P; the next most stable structure lies 0.140 eV/atom above it.

---

Model P:
Computed, not measured: a relaxed structure of CuPb2Au2 at the PBE level of DFT.

CIF file:
```
data_CuPb2Au2
_chemical_formula_sum 'Cu2 Pb4 Au4'
_symmetry_space_group_name_H-M 'P 4/m b m'
_symmetry_Int_Tables_number 127
_symmetry_space_group_name_Hall '-P 4 2ab'
_cell_length_a 7.021
_cell_length_b 7.021
_cell_length_c 4.676
_cell_angle_alpha 90.00
_cell_angle_beta 90.00
_cell_angle_gamma 90.00
loop_
_atom_site_label
_atom_site_type_symbol
_atom_site_fract_x
_atom_site_fract_y
_atom_site_fract_z
Cu1 Cu 0.000 0.000 0.000
Pb1 Pb 0.172 0.328 0.500
Au1 Au 0.148 0.648 0.000
```

Output
Its crystal system is tetragonal.

---

Model Q:
Computed, not measured: a relaxed structure of CuPb2Au2 at the PBE level of DFT.

CIF file:
```
data_CuPb2Au2
_chemical_formula_sum 'Cu2 Pb4 Au4'
_symmetry_space_group_name_H-M 'P 4/m b m'
_symmetry_Int_Tables_number 127
_symmetry_space_group_name_Hall '-P 4 2ab'
_cell_length_a 7.665
_cell_length_b 7.665
_cell_length_c 4.112
_cell_angle_alpha 90.00
_cell_angle_beta 90.00
_cell_angle_gamma 90.00
loop_
_atom_site_label
_atom_site_type_symbol
_atom_site_fract_x
_atom_site_fract_y
_atom_site_fract_z
Cu1 Cu 0.000 0.000 0.000
Pb1 Pb 0.175 0.325 0.000
Au1 Au 0.132 0.632 0.500
```

Output
Its crystal system is tetragonal.

---

The data favor model P; the next most stable structure lies 0.152 eV/atom above it.